LiCoCO4 after structural relaxation, computed with PBE with a Hubbard U.

```
28
Lattice="9.368 0.000 0.000 0.000 3.179 -0.037 0.000 2.934 9.033" Properties=species:S:1:pos:R:3 pbc="T T T"
O 4.998 0.829 1.209
O 2.214 1.045 2.187
O 9.330 2.315 0.946
O 7.154 5.069 6.809
O 2.492 5.655 8.936
O 4.723 3.783 5.463
O 2.470 2.512 6.703
O 6.876 0.458 0.061
O 7.176 1.925 4.577
O 0.039 3.798 8.050
O 6.898 3.602 2.293
O 2.192 4.188 4.419
O 0.314 3.817 3.271
O 4.371 5.284 7.787
O 4.646 2.331 3.533
O 9.055 2.296 5.725
Co 8.301 5.272 8.409
Co 5.752 3.805 3.893
Co 3.617 2.309 5.103
Co 1.068 0.841 0.587
C 6.230 0.566 1.205
C 3.138 5.547 7.791
C 7.822 2.033 5.721
C 1.546 4.080 3.275
Li 0.906 3.863 6.128
Li 3.779 2.396 1.611
Li 5.590 3.718 7.385
Li 8.463 2.251 2.868
```

Summary:
* energy above the lowest structure with this stoichiometry: 0 meV/atom
* final energy: -6.53 eV/atom